1.
The following is a DFT calculation (PBE) of an optimized crystal structure of RbEr3F10.

Properties
SG = Fm-3m, No. 225
E_form (uncorrected) = -4001 meV per atom
Total DFT energy (no corrections) = -6.384 eV per atom
DOS at the Fermi energy = 0.0000 states/eV/atom

Cell lengths 8.2029, 8.2029, 8.2029 Å; angles 60.00, 60.00, 60.00 degrees
Closest atoms and distances in Å follow each position.
Fractional positions:
Rb (0.2500, 0.2500, 0.2500)  4 F 2.80
Rb (0.7500, 0.7500, 0.7500)  4 F 2.80
Er (0.2404, 0.2404, 0.7596)  8 F 2.20-2.36
Er (0.2404, 0.7596, 0.2404)  8 F 2.20-2.36
Er (0.2404, 0.7596, 0.7596)  8 F 2.20-2.36
Er (0.7596, 0.2404, 0.2404)  8 F 2.20-2.36
Er (0.7596, 0.2404, 0.7596)  8 F 2.20-2.36
Er (0.7596, 0.7596, 0.2404)  8 F 2.20-2.36
F (0.1104, 0.1104, 0.1104)  3 Er 2.36, 3 F 2.56
F (0.1104, 0.1104, 0.6687)  3 Er 2.36, 3 F 2.56
F (0.1104, 0.6687, 0.1104)  3 Er 2.36, 3 F 2.56
F (0.1714, 0.5000, 0.5000)  2 Er 2.20
F (0.1714, 0.5000, 0.8286)  2 Er 2.20
F (0.1714, 0.8286, 0.5000)  2 Er 2.20
F (0.3313, 0.8896, 0.8896)  3 Er 2.36, 3 F 2.56
F (0.5000, 0.1714, 0.5000)  2 Er 2.20
F (0.5000, 0.1714, 0.8286)  2 Er 2.20
F (0.5000, 0.5000, 0.1714)  2 Er 2.20
F (0.5000, 0.5000, 0.8286)  2 Er 2.20
F (0.5000, 0.8286, 0.1714)  2 Er 2.20
F (0.5000, 0.8286, 0.5000)  2 Er 2.20
F (0.6687, 0.1104, 0.1104)  3 Er 2.36, 3 F 2.56
F (0.8286, 0.1714, 0.5000)  2 Er 2.20
F (0.8286, 0.5000, 0.1714)  2 Er 2.20
F (0.8286, 0.5000, 0.5000)  2 Er 2.20
F (0.8896, 0.3313, 0.8896)  3 Er 2.36, 3 F 2.56
F (0.8896, 0.8896, 0.3313)  3 Er 2.36, 3 F 2.56
F (0.8896, 0.8896, 0.8896)  3 Er 2.36, 3 F 2.56

=====

2.
The following is a DFT calculation (PBE) of an optimized crystal structure of Li12TcN7.

Properties
SG = R-3, No. 148
E_form (uncorrected) = -146 meV per atom
Total DFT energy (no corrections) = -4.726 eV per atom
DOS at the Fermi energy = 0.4091 states/eV/atom

Cell lengths 6.3925, 6.3925, 6.3925 Å; angles 105.01, 105.01, 105.01 degrees
Closest atoms and distances in Å follow each position.
Fractional positions:
Li (0.0630, 0.3328, 0.1538)  3 N 1.94-2.06
Li (0.1538, 0.0630, 0.3328)  3 N 1.94-2.06
Li (0.1653, 0.6899, 0.5590)  3 N 1.98-1.99
Li (0.3101, 0.4410, 0.8347)  3 N 1.98-1.99
Li (0.3328, 0.1538, 0.0630)  3 N 1.94-2.06
Li (0.4410, 0.8347, 0.3101)  3 N 1.98-1.99
Li (0.5590, 0.1653, 0.6899)  3 N 1.98-1.99
Li (0.6672, 0.8462, 0.9370)  3 N 1.94-2.06
Li (0.6899, 0.5590, 0.1653)  3 N 1.98-1.99
Li (0.8347, 0.3101, 0.4410)  3 N 1.98-1.99
Li (0.8462, 0.9370, 0.6672)  3 N 1.94-2.06
Li (0.9370, 0.6672, 0.8462)  3 N 1.94-2.06
Tc (0.5000, 0.5000, 0.5000)  6 N 2.05
N (0.0000, 0.0000, 0.0000)  6 Li 1.98
N (0.1705, 0.3717, 0.4989)  5 Li 1.94-2.06, 1 Tc 2.05
N (0.3717, 0.4989, 0.1705)  5 Li 1.94-2.06, 1 Tc 2.05
N (0.4989, 0.1705, 0.3717)  5 Li 1.94-2.06, 1 Tc 2.05
N (0.5011, 0.8295, 0.6283)  5 Li 1.94-2.06, 1 Tc 2.05
N (0.6283, 0.5011, 0.8295)  5 Li 1.94-2.06, 1 Tc 2.05
N (0.8295, 0.6283, 0.5011)  5 Li 1.94-2.06, 1 Tc 2.05

=====

3.
The following is a DFT calculation (PBE) of an optimized crystal structure of SrScOs2.

Properties
SG = P4/mmm, No. 123
Total DFT energy (no corrections) = -6.903 eV per atom
Energy relative to the elements = 0.716 eV per atom
DOS at the Fermi energy = 1.4395 states/eV/atom

Cell lengths 4.8083, 4.8083, 3.3628 Å; angles 90.00, 90.00, 90.00 degrees
Closest atoms and distances in Å follow each position.
Fractional positions:
Sr (0.0000, 0.0000, 0.0000)  8 Os 2.93
Sc (0.5000, 0.5000, 0.0000)  8 Os 2.93
Os (0.0000, 0.5000, 0.5000)  4 Sc 2.93, 4 Sr 2.93
Os (0.5000, 0.0000, 0.5000)  4 Sc 2.93, 4 Sr 2.93

=====

Q: The lowest DOS at the Fermi energy belongs to which entry?
A: RbEr3F10